[1]
# PBE-GGA Ba2MgTcS6, relaxed
# DFT total energy   -102.27 eV for the cell shown
# V   461.7 Å³ per cell
data_Ba2MgTcS6
_cell_length_a 6.8840
_cell_length_b 6.8840
_cell_length_c 9.7419
_cell_angle_alpha 90.00
_cell_angle_beta 90.00
_cell_angle_gamma 90.00
_space_group_name_H-M_alt 'I 4/m'
_space_group_IT_number 87
_space_group_name_Hall '-I 4'
loop_
_atom_site_label
_atom_site_fract_x
_atom_site_fract_y
_atom_site_fract_z
_atom_site_occupancy
Ba1 0.0000 0.5000 0.2500 1
Mg1 0.0000 0.0000 0.0000 1
Tc1 0.0000 0.0000 0.5000 1
S1 0.0000 0.0000 0.2558 1
S2 0.2387 0.2496 0.5000 1


[2]
# PBE-GGA KDyInTe3, relaxed
# DFT total energy   -92.55 eV for the cell shown
# V   897.2 Å³ per cell
data_KDyInTe3
_cell_length_a 4.6719
_cell_length_b 16.1140
_cell_length_c 11.9182
_cell_angle_alpha 90.00
_cell_angle_beta 90.00
_cell_angle_gamma 90.00
_space_group_name_H-M_alt 'C m c m'
_space_group_IT_number 63
_space_group_name_Hall '-C 2c 2'
loop_
_atom_site_label
_atom_site_fract_x
_atom_site_fract_y
_atom_site_fract_z
_atom_site_occupancy
K1 0.0000 0.2402 0.2500 1
Dy1 0.0000 0.0000 0.0000 1
In1 0.0000 0.4649 0.7500 1
Te1 0.0000 0.0768 0.7500 1
Te2 0.0000 0.3708 0.5367 1


[3]
# PBE-GGA GaBiMo4C2, relaxed
# DFT total energy   -68.24 eV for the cell shown
# V   118.5 Å³ per cell
data_GaBiMo4C2
_cell_length_a 3.1862
_cell_length_b 3.1862
_cell_length_c 13.4802
_cell_angle_alpha 90.00
_cell_angle_beta 90.00
_cell_angle_gamma 120.00
_space_group_name_H-M_alt 'P -6 m 2'
_space_group_IT_number 187
_space_group_name_Hall 'P -6 2'
loop_
_atom_site_label
_atom_site_fract_x
_atom_site_fract_y
_atom_site_fract_z
_atom_site_occupancy
Ga1 0.0000 0.0000 0.0000 1
Bi1 0.3333 0.6667 0.5000 1
Mo1 0.0000 0.0000 0.3141 1
Mo2 0.3333 0.6667 0.1511 1
C1 0.6667 0.3333 0.2369 1


[4]
# PBE-GGA KNbW, relaxed
# DFT total energy   -56.83 eV for the cell shown
# Relative energy among the computed polymorphs   1.105 eV per atom
# V   302.0 Å³ per cell
data_KNbW
_cell_length_a 6.7089
_cell_length_b 6.7089
_cell_length_c 6.7089
_cell_angle_alpha 90.00
_cell_angle_beta 90.00
_cell_angle_gamma 90.00
_space_group_name_H-M_alt 'F -4 3 m'
_space_group_IT_number 216
_space_group_name_Hall 'F -4 2 3'
loop_
_atom_site_label
_atom_site_fract_x
_atom_site_fract_y
_atom_site_fract_z
_atom_site_occupancy
K1 0.0000 0.0000 0.0000 1
Nb1 0.2500 0.2500 0.7500 1
W1 0.2500 0.2500 0.2500 1


[5]
# PBE-GGA PrGaNi, relaxed
# DFT total energy   -60.08 eV for the cell shown
# V   235.0 Å³ per cell
data_PrGaNi
_cell_length_a 7.3871
_cell_length_b 4.5717
_cell_length_c 6.9583
_cell_angle_alpha 90.00
_cell_angle_beta 90.00
_cell_angle_gamma 90.00
_space_group_name_H-M_alt 'P n m a'
_space_group_IT_number 62
_space_group_name_Hall '-P 2ac 2n'
loop_
_atom_site_label
_atom_site_fract_x
_atom_site_fract_y
_atom_site_fract_z
_atom_site_occupancy
Pr1 0.0311 0.2500 0.1857 1
Ga1 0.1840 0.2500 0.6036 1
Ni1 0.1584 0.7500 0.4234 1


[6]
# PBE-GGA BaNaGdTe3, relaxed
# DFT total energy   -102.14 eV for the cell shown
# V   832.9 Å³ per cell
data_BaNaGdTe3
_cell_length_a 4.6892
_cell_length_b 15.2477
_cell_length_c 11.6486
_cell_angle_alpha 90.00
_cell_angle_beta 90.00
_cell_angle_gamma 90.00
_space_group_name_H-M_alt 'C m c m'
_space_group_IT_number 63
_space_group_name_Hall '-C 2c 2'
loop_
_atom_site_label
_atom_site_fract_x
_atom_site_fract_y
_atom_site_fract_z
_atom_site_occupancy
Ba1 0.0000 0.2480 0.2500 1
Na1 0.0000 0.4721 0.7500 1
Gd1 0.0000 0.0000 0.0000 1
Te1 0.0000 0.0832 0.7500 1
Te2 0.0000 0.3613 0.5453 1


[7]
# PBE-GGA UFeGe, relaxed
# DFT total energy   -98.46 eV for the cell shown
# V   222.3 Å³ per cell
data_UFeGe
_cell_length_a 6.0582
_cell_length_b 6.0582
_cell_length_c 6.0582
_cell_angle_alpha 90.00
_cell_angle_beta 90.00
_cell_angle_gamma 90.00
_space_group_name_H-M_alt 'F -4 3 m'
_space_group_IT_number 216
_space_group_name_Hall 'F -4 2 3'
loop_
_atom_site_label
_atom_site_fract_x
_atom_site_fract_y
_atom_site_fract_z
_atom_site_occupancy
U1 0.0000 0.0000 0.0000 1
Fe1 0.2500 0.2500 0.7500 1
Ge1 0.0000 0.0000 0.5000 1


[8]
# PBE-GGA ScNbZnFe, relaxed
# DFT total energy   -104.12 eV for the cell shown
# Relative energy among the computed polymorphs   0.000 eV per atom
# Energy relative to the elements   -0.009 eV per atom
# V   242.7 Å³ per cell
data_ScNbZnFe
_cell_length_a 6.2381
_cell_length_b 6.2381
_cell_length_c 6.2381
_cell_angle_alpha 90.00
_cell_angle_beta 90.00
_cell_angle_gamma 90.00
_space_group_name_H-M_alt 'F -4 3 m'
_space_group_IT_number 216
_space_group_name_Hall 'F -4 2 3'
loop_
_atom_site_label
_atom_site_fract_x
_atom_site_fract_y
_atom_site_fract_z
_atom_site_occupancy
Sc1 0.0000 0.0000 0.0000 1
Nb1 0.2500 0.2500 0.7500 1
Zn1 0.2500 0.2500 0.2500 1
Fe1 0.0000 0.0000 0.5000 1


[9]
# PBE-GGA MgGaCo, relaxed
# DFT total energy   -49.38 eV for the cell shown
# V   177.0 Å³ per cell
data_MgGaCo
_cell_length_a 5.0595
_cell_length_b 5.1185
_cell_length_c 6.8329
_cell_angle_alpha 90.00
_cell_angle_beta 90.00
_cell_angle_gamma 90.00
_space_group_name_H-M_alt 'I m m a'
_space_group_IT_number 74
_space_group_name_Hall '-I 2b 2'
loop_
_atom_site_label
_atom_site_fract_x
_atom_site_fract_y
_atom_site_fract_z
_atom_site_occupancy
Mg1 0.0000 0.2500 0.1130 1
Ga1 0.0000 0.0000 0.5000 1
Co1 0.2500 0.2500 0.7500 1


[10]
# PBE-GGA LiZrGeIr, relaxed
# DFT total energy   -103.73 eV for the cell shown
# Relative energy among the computed polymorphs   0.249 eV per atom
# V   260.5 Å³ per cell
data_LiZrGeIr
_cell_length_a 6.3870
_cell_length_b 6.3870
_cell_length_c 6.3870
_cell_angle_alpha 90.00
_cell_angle_beta 90.00
_cell_angle_gamma 90.00
_space_group_name_H-M_alt 'F -4 3 m'
_space_group_IT_number 216
_space_group_name_Hall 'F -4 2 3'
loop_
_atom_site_label
_atom_site_fract_x
_atom_site_fract_y
_atom_site_fract_z
_atom_site_occupancy
Li1 0.0000 0.0000 0.0000 1
Zr1 0.0000 0.0000 0.5000 1
Ge1 0.2500 0.2500 0.7500 1
Ir1 0.2500 0.2500 0.2500 1


[11]
# PBE-GGA HoMgTa, relaxed
# DFT total energy   -59.16 eV for the cell shown
# Relative energy among the computed polymorphs   0.000 eV per atom
# V   305.9 Å³ per cell
data_HoMgTa
_cell_length_a 6.7378
_cell_length_b 6.7378
_cell_length_c 6.7378
_cell_angle_alpha 90.00
_cell_angle_beta 90.00
_cell_angle_gamma 90.00
_space_group_name_H-M_alt 'F -4 3 m'
_space_group_IT_number 216
_space_group_name_Hall 'F -4 2 3'
loop_
_atom_site_label
_atom_site_fract_x
_atom_site_fract_y
_atom_site_fract_z
_atom_site_occupancy
Ho1 0.0000 0.0000 0.0000 1
Mg1 0.2500 0.2500 0.2500 1
Ta1 0.0000 0.0000 0.5000 1


[12]
# PBE-GGA ZnSiAsO, relaxed
# DFT total energy   -37.08 eV for the cell shown
# Relative energy among the computed polymorphs   0.000 eV per atom
# V   132.7 Å³ per cell
data_ZnSiAsO
_cell_length_a 3.6012
_cell_length_b 6.0158
_cell_length_c 6.1246
_cell_angle_alpha 90.00
_cell_angle_beta 90.00
_cell_angle_gamma 90.00
_space_group_name_H-M_alt 'P m c 21'
_space_group_IT_number 26
_space_group_name_Hall 'P 2c -2'
loop_
_atom_site_label
_atom_site_fract_x
_atom_site_fract_y
_atom_site_fract_z
_atom_site_occupancy
Zn1 0.0000 0.2213 0.0000 1
Si1 0.5000 0.3963 0.5276 1
As1 0.0000 0.1755 0.4003 1
O1 0.5000 0.3794 0.8367 1


[13]
# PBE-GGA KBePd, relaxed
# DFT total energy   -31.26 eV for the cell shown
# Relative energy among the computed polymorphs   0.000 eV per atom
# V   269.6 Å³ per cell
data_KBePd
_cell_length_a 6.4598
_cell_length_b 6.4598
_cell_length_c 6.4598
_cell_angle_alpha 90.00
_cell_angle_beta 90.00
_cell_angle_gamma 90.00
_space_group_name_H-M_alt 'F -4 3 m'
_space_group_IT_number 216
_space_group_name_Hall 'F -4 2 3'
loop_
_atom_site_label
_atom_site_fract_x
_atom_site_fract_y
_atom_site_fract_z
_atom_site_occupancy
K1 0.0000 0.0000 0.0000 1
Be1 0.2500 0.2500 0.2500 1
Pd1 0.0000 0.0000 0.5000 1


[14]
# PBE-GGA TbUPt, relaxed
# DFT total energy   -90.39 eV for the cell shown
# Relative energy among the computed polymorphs   0.000 eV per atom
# Energy relative to the elements   -0.205 eV per atom
# V   316.7 Å³ per cell
data_TbUPt
_cell_length_a 6.8165
_cell_length_b 6.8165
_cell_length_c 6.8165
_cell_angle_alpha 90.00
_cell_angle_beta 90.00
_cell_angle_gamma 90.00
_space_group_name_H-M_alt 'F -4 3 m'
_space_group_IT_number 216
_space_group_name_Hall 'F -4 2 3'
loop_
_atom_site_label
_atom_site_fract_x
_atom_site_fract_y
_atom_site_fract_z
_atom_site_occupancy
Tb1 0.0000 0.0000 0.0000 1
U1 0.0000 0.0000 0.5000 1
Pt1 0.2500 0.2500 0.2500 1


[15]
# PBE-GGA Pr3AlS6, relaxed
# DFT total energy   -244.82 eV for the cell shown
# V   1019.2 Å³ per cell
data_Pr3AlS6
_cell_length_a 11.0985
_cell_length_b 13.7740
_cell_length_c 6.6668
_cell_angle_alpha 90.00
_cell_angle_beta 90.00
_cell_angle_gamma 90.00
_space_group_name_H-M_alt 'C m c 21'
_space_group_IT_number 36
_space_group_name_Hall 'C 2c -2'
loop_
_atom_site_label
_atom_site_fract_x
_atom_site_fract_y
_atom_site_fract_z
_atom_site_occupancy
Pr1 0.0000 0.1020 0.0000 1
Pr2 0.1846 0.3988 0.0813 1
Al1 0.0000 0.3025 0.6240 1
S1 0.0000 0.2838 0.2865 1
S2 0.0000 0.4571 0.7554 1
S3 0.1613 0.0241 0.2914 1
S4 0.1606 0.2381 0.7856 1


[16]
# PBE-GGA Be2Pt3, relaxed
# DFT total energy   -56.55 eV for the cell shown
# V   125.6 Å³ per cell
data_Be2Pt3
_cell_length_a 6.0068
_cell_length_b 6.0068
_cell_length_c 3.4804
_cell_angle_alpha 90.00
_cell_angle_beta 90.00
_cell_angle_gamma 90.00
_space_group_name_H-M_alt 'P 4/m b m'
_space_group_IT_number 127
_space_group_name_Hall '-P 4 2ab'
loop_
_atom_site_label
_atom_site_fract_x
_atom_site_fract_y
_atom_site_fract_z
_atom_site_occupancy
Be1 0.1334 0.3666 0.0000 1
Pt1 0.0000 0.0000 0.0000 1
Pt2 0.1652 0.6652 0.5000 1


[17]
# PBE-GGA Cd2Co7, relaxed
# DFT total energy   -49.22 eV for the cell shown
# Energy relative to the elements   0.257 eV per atom
# V   181.8 Å³ per cell
data_Cd2Co7
_cell_length_a 2.6268
_cell_length_b 2.6268
_cell_length_c 30.4178
_cell_angle_alpha 90.00
_cell_angle_beta 90.00
_cell_angle_gamma 120.00
_space_group_name_H-M_alt 'P -3 m 1'
_space_group_IT_number 164
_space_group_name_Hall '-P 3 2"'
loop_
_atom_site_label
_atom_site_fract_x
_atom_site_fract_y
_atom_site_fract_z
_atom_site_occupancy
Cd1 0.3333 0.6667 0.2269 1
Co1 0.0000 0.0000 0.3092 1
Co2 0.0000 0.0000 0.5000 1
Co3 0.3333 0.6667 0.4362 1
Co4 0.3333 0.6667 0.6285 1


[18]
# PBE-GGA La3Ir, relaxed
# DFT total energy   -102.45 eV for the cell shown
# Energy relative to the elements   -0.498 eV per atom
# V   500.7 Å³ per cell
data_La3Ir
_cell_length_a 7.4242
_cell_length_b 10.1474
_cell_length_c 6.6463
_cell_angle_alpha 90.00
_cell_angle_beta 90.00
_cell_angle_gamma 90.00
_space_group_name_H-M_alt 'P n m a'
_space_group_IT_number 62
_space_group_name_Hall '-P 2ac 2n'
loop_
_atom_site_label
_atom_site_fract_x
_atom_site_fract_y
_atom_site_fract_z
_atom_site_occupancy
La1 0.0397 0.2500 0.1475 1
La2 0.1719 0.0676 0.6700 1
Ir1 0.1221 0.7500 0.4337 1


[19]
# PBE-GGA Hf4Zr2P3C3, relaxed
# DFT total energy   -455.72 eV for the cell shown
# V   741.1 Å³ per cell
data_Hf4Zr2P3C3
_cell_length_a 10.2926
_cell_length_b 5.9429
_cell_length_c 12.5928
_cell_angle_alpha 90.00
_cell_angle_beta 105.81
_cell_angle_gamma 90.00
_space_group_name_H-M_alt 'C 1 2/c 1'
_space_group_IT_number 15
_space_group_name_Hall '-C 2yc'
loop_
_atom_site_label
_atom_site_fract_x
_atom_site_fract_y
_atom_site_fract_z
_atom_site_occupancy
Hf1 0.1178 0.0840 0.1036 1
Hf2 0.2158 0.0832 0.3964 1
Zr1 0.0478 0.4166 0.8945 1
P1 0.0000 0.0787 0.7500 1
P2 0.1688 0.4149 0.2503 1
C1 0.0850 0.2451 0.5000 1
C2 0.2500 0.2500 0.0000 1


[20]
# PBE-GGA NaLiPuS3, relaxed
# DFT total energy   -151.70 eV for the cell shown
# V   515.6 Å³ per cell
data_NaLiPuS3
_cell_length_a 4.0090
_cell_length_b 12.4845
_cell_length_c 10.3023
_cell_angle_alpha 90.00
_cell_angle_beta 90.00
_cell_angle_gamma 90.00
_space_group_name_H-M_alt 'C m c m'
_space_group_IT_number 63
_space_group_name_Hall '-C 2c 2'
loop_
_atom_site_label
_atom_site_fract_x
_atom_site_fract_y
_atom_site_fract_z
_atom_site_occupancy
Na1 0.0000 0.2466 0.2500 1
Li1 0.0000 0.0236 0.7500 1
Pu1 0.0000 0.5000 0.0000 1
S1 0.0000 0.1304 0.5627 1
S2 0.0000 0.4247 0.7500 1